Record 1
# Rb2GaI6N | the Alexandria database | GGA-PBE | relaxed
data_Rb2GaI6N
_cell_length_a 8.0000
_cell_length_b 8.0000
_cell_length_c 11.1555
_cell_angle_alpha 90.00
_cell_angle_beta 90.00
_cell_angle_gamma 90.00
_symmetry_space_group_name_H-M 'I 4/m m m'
_symmetry_Int_Tables_number 139
_symmetry_space_group_name_Hall '-I 4 2'
loop_
_atom_site_label
_atom_site_fract_x
_atom_site_fract_y
_atom_site_fract_z
Rb1 0.0000 0.5000 0.2500
Ga1 0.0000 0.0000 0.0000
I1 0.0000 0.0000 0.2400
I2 0.2278 0.2278 0.5000
N1 0.0000 0.0000 0.5000
# Energy relative to the elements, uncorrected   -0.258 eV/atom
# E_tot   -50.3 eV for the cell shown
# Density   4.73 Mg/m³

Record 2
# Li2In3Hg7 | the Alexandria database | GGA-PBE | relaxed
data_Li2In3Hg7
_cell_length_a 5.1781
_cell_length_b 22.5419
_cell_length_c 5.2374
_cell_angle_alpha 90.00
_cell_angle_beta 90.00
_cell_angle_gamma 90.00
_symmetry_space_group_name_H-M 'C m m m'
_symmetry_Int_Tables_number 65
_symmetry_space_group_name_Hall '-C 2 2'
loop_
_atom_site_label
_atom_site_fract_x
_atom_site_fract_y
_atom_site_fract_z
Li1 0.0000 0.1486 0.0000
In1 0.0000 0.3393 0.5000
In2 0.0000 0.5000 0.5000
Hg1 0.0000 0.0000 0.0000
Hg2 0.0000 0.0866 0.5000
Hg3 0.0000 0.2773 0.0000
Hg4 0.0000 0.4197 0.0000
# Calculated formation energy   -84 meV/atom
# E_tot   -30.3 eV for the cell shown
# Density   9.57 Mg/m³

Record 3
# CuTc2ClO | the Alexandria database | GGA-PBE | relaxed
data_CuTc2ClO
_cell_length_a 3.8923
_cell_length_b 3.8923
_cell_length_c 5.5663
_cell_angle_alpha 90.00
_cell_angle_beta 90.00
_cell_angle_gamma 90.00
_symmetry_space_group_name_H-M 'P 4/m m m'
_symmetry_Int_Tables_number 123
_symmetry_space_group_name_Hall '-P 4 2'
loop_
_atom_site_label
_atom_site_fract_x
_atom_site_fract_y
_atom_site_fract_z
Cu1 0.0000 0.0000 0.0000
Tc1 0.0000 0.5000 0.5000
Cl1 0.5000 0.5000 0.0000
O1 0.5000 0.5000 0.5000
# Energy relative to the elements, uncorrected   0.483 eV/atom
# E_tot   -29.2 eV for the cell shown
# Density   6.12 Mg/m³